1.
Compound: Ca3Ge5Cl16
Source: the Alexandria database
Functional: PBE
Structure: optimized geometry

Summary:
The formation energy (no corrections) is -1.38 eV per atom. Its crystal system is monoclinic. The total energy comes out at -91.86 eV per formula unit.

CIF file:
```
data_Ca3Ge5Cl16
_chemical_formula_sum 'Ca3 Ge5 Cl16'
_space_group_name_H-M_alt 'P 1'
_space_group_IT_number 1
_space_group_name_Hall 'P 1'
_cell_length_a 8.1838
_cell_length_b 8.1838
_cell_length_c 13.2389
_cell_angle_alpha 91.68
_cell_angle_beta 91.68
_cell_angle_gamma 59.54
loop_
_atom_site_label
_atom_site_type_symbol
_atom_site_fract_x
_atom_site_fract_y
_atom_site_fract_z
Ca1 Ca 0.0000 0.0000 0.0000
Ca2 Ca 0.1844 0.6880 0.4921
Ca3 Ca 0.6880 0.1844 0.4921
Ge1 Ge 0.1695 0.1695 0.2345
Ge2 Ge 0.5055 0.5055 0.7364
Ge3 Ge 0.5179 0.9958 0.9911
Ge4 Ge 0.7009 0.7009 0.4895
Ge5 Ge 0.9958 0.5179 0.9911
Cl1 Cl 0.0184 0.0184 0.3960
Cl2 Cl 0.1510 0.6530 0.8995
Cl3 Cl 0.1626 0.1626 0.8926
Cl4 Cl 0.3027 0.8755 0.1360
Cl5 Cl 0.3118 0.3118 0.1298
Cl6 Cl 0.3540 0.7964 0.6445
Cl7 Cl 0.3647 0.3647 0.6168
Cl8 Cl 0.5117 0.5117 0.3883
Cl9 Cl 0.5428 0.9857 0.3901
Cl10 Cl 0.6530 0.1510 0.8995
Cl11 Cl 0.6835 0.6835 0.8846
Cl12 Cl 0.7964 0.3540 0.6445
Cl13 Cl 0.8343 0.8343 0.1058
Cl14 Cl 0.8516 0.8516 0.6035
Cl15 Cl 0.8755 0.3027 0.1360
Cl16 Cl 0.9857 0.5428 0.3901
```

2.
Compound: AcLa2WN5
Source: the Alexandria database
Functional: PBE
Structure: optimized geometry

Summary:
The formation energy (no corrections) is -0.78 eV per atom. Its crystal system is tetragonal. The total energy comes out at -75.54 eV per formula unit.

CIF file:
```
data_AcLa2WN5
_chemical_formula_sum 'Ac2 La4 W2 N10'
_space_group_name_H-M_alt 'P 1'
_space_group_IT_number 1
_space_group_name_Hall 'P 1'
_cell_length_a 6.9557
_cell_length_b 6.9557
_cell_length_c 6.1138
_cell_angle_alpha 90.00
_cell_angle_beta 90.00
_cell_angle_gamma 90.00
loop_
_atom_site_label
_atom_site_type_symbol
_atom_site_fract_x
_atom_site_fract_y
_atom_site_fract_z
Ac1 Ac 0.0000 0.0000 0.0000
Ac2 Ac 0.5000 0.5000 0.0000
La1 La 0.1707 0.3293 0.5000
La2 La 0.3293 0.8293 0.5000
La3 La 0.6707 0.1707 0.5000
La4 La 0.8293 0.6707 0.5000
W1 W 0.0000 0.5000 0.0000
W2 W 0.5000 0.0000 0.0000
N1 N 0.0000 0.0000 0.5000
N2 N 0.1406 0.6406 0.2267
N3 N 0.1406 0.6406 0.7733
N4 N 0.3594 0.1406 0.2267
N5 N 0.3594 0.1406 0.7733
N6 N 0.5000 0.5000 0.5000
N7 N 0.6406 0.8594 0.2267
N8 N 0.6406 0.8594 0.7733
N9 N 0.8594 0.3594 0.2267
N10 N 0.8594 0.3594 0.7733
```